(1)
A plane-wave DFT calculation with PBE was carried out for crystalline LiCdRu at its relaxed geometry.

Calculated values
The space group is P-1 (2). The value obtained for the total moment is 0.00 μB per atom. Its total energy is -3.9479 eV/atom. Its energy of formation from the pure elements is 0.26 eV per formula unit. For the density of states at the Fermi level, the calculation gives 2.1 states/eV/cell. The calculation puts the relative energy among the computed polymorphs at 42 meV/atom.

Cell: 4.552 5.023 5.067 Å, 71.24 64.61 79.97°
Fractional coordinates of all 6 atoms:
Li 0.141 0.025 0.163
Li 0.859 0.975 0.837
Cd 0.500 0.000 0.500
Cd 0.500 0.500 0.000
Ru 0.190 0.505 0.609
Ru 0.810 0.495 0.391

(2)
A plane-wave DFT calculation with PBE was carried out for crystalline LiCd2Ru2 at its relaxed geometry.

Calculated values
The space group is P4/mbm (127). The value obtained for the total moment is 0.33 μB per atom. Its total energy is -4.0986 eV/atom. Its energy of formation from the pure elements is 1.80 eV per formula unit. For the density of states at the Fermi level, the calculation gives 7.5 states/eV/cell.

Cell: 8.056 8.056 2.909 Å, 90.00 90.00 90.00°
Fractional coordinates of all 10 atoms:
Li 0.000 0.000 0.000
Li 0.500 0.500 0.000
Cd 0.189 0.311 0.500
Cd 0.311 0.811 0.500
Cd 0.689 0.189 0.500
Cd 0.811 0.689 0.500
Ru 0.104 0.604 0.000
Ru 0.396 0.104 0.000
Ru 0.604 0.896 0.000
Ru 0.896 0.396 0.000

(3)
A plane-wave DFT calculation with PBE was carried out for crystalline Li2CdRu at its relaxed geometry.

Calculated values
The space group is R-3m (166). The value obtained for the total moment is 0.08 μB per atom. Its total energy is -3.4387 eV/atom. Its energy of formation from the pure elements is 0.26 eV per formula unit. For the density of states at the Fermi level, the calculation gives 2.0 states/eV/cell.

Cell: 9.706 9.706 9.706 Å, 16.44 16.44 16.44°
Fractional coordinates of all 4 atoms:
Li 0.242 0.242 0.242
Li 0.758 0.758 0.758
Cd 0.000 0.000 0.000
Ru 0.500 0.500 0.500

(4)
A plane-wave DFT calculation with PBE was carried out for crystalline LiCdRu at its relaxed geometry.

Calculated values
The space group is P3m1 (156). The value obtained for the total moment is 0.00 μB per atom. Its total energy is -3.8158 eV/atom. Its energy of formation from the pure elements is 0.66 eV per formula unit. For the density of states at the Fermi level, the calculation gives 3.1 states/eV/cell. The calculation puts the relative energy among the computed polymorphs at 174 meV/atom.

Cell: 4.558 4.558 2.637 Å, 90.00 90.00 120.00°
Fractional coordinates of all 3 atoms:
Li 0.000 0.000 0.000
Cd 0.333 0.667 0.264
Ru 0.667 0.333 0.698

(5)
A plane-wave DFT calculation with PBE was carried out for crystalline Li2CdRu at its relaxed geometry.

Calculated values
The space group is F-43m (216). The value obtained for the total moment is 0.21 μB per atom. Its total energy is -3.2993 eV/atom. Its energy of formation from the pure elements is 0.82 eV per formula unit. For the density of states at the Fermi level, the calculation gives 4.6 states/eV/cell.

Cell: 4.483 4.483 4.483 Å, 60.00 60.00 60.00°
Fractional coordinates of all 4 atoms:
Li 0.000 0.000 0.000
Li 0.250 0.250 0.250
Cd 0.500 0.500 0.500
Ru 0.750 0.750 0.750

(6)
A plane-wave DFT calculation with PBE was carried out for crystalline LiCdRu at its relaxed geometry.

Calculated values
The space group is F-43m (216). The value obtained for the total moment is 0.35 μB per atom. Its total energy is -3.3533 eV/atom. Its energy of formation from the pure elements is 2.04 eV per formula unit. For the density of states at the Fermi level, the calculation gives 4.0 states/eV/cell. The calculation puts the relative energy among the computed polymorphs at 637 meV/atom.

Cell: 4.139 4.139 4.139 Å, 60.00 60.00 60.00°
Fractional coordinates of all 3 atoms:
Li 0.000 0.000 0.000
Cd 0.250 0.250 0.250
Ru 0.750 0.750 0.750

(7)
A plane-wave DFT calculation with PBE was carried out for crystalline Li2CdRu at its relaxed geometry.

Calculated values
The space group is Cmmm (65). The value obtained for the total moment is 0.00 μB per atom. Its total energy is -3.4128 eV/atom. Its energy of formation from the pure elements is 0.37 eV per formula unit. For the density of states at the Fermi level, the calculation gives 1.6 states/eV/cell.

Cell: 2.715 2.715 9.436 Å, 90.00 90.00 113.94°
Fractional coordinates of all 4 atoms:
Li 0.000 0.000 0.226
Li 0.000 0.000 0.774
Cd 0.500 0.500 0.500
Ru 0.500 0.500 0.000

(8)
A plane-wave DFT calculation with PBE was carried out for crystalline Li2CdRu at its relaxed geometry.

Calculated values
The space group is P4/mmm (123). The value obtained for the total moment is 0.25 μB per atom. Its total energy is -3.2980 eV/atom. Its energy of formation from the pure elements is 0.83 eV per formula unit. For the density of states at the Fermi level, the calculation gives 2.7 states/eV/cell.

Cell: 4.355 4.355 3.067 Å, 90.00 90.00 90.00°
Fractional coordinates of all 4 atoms:
Li 0.000 0.500 0.000
Li 0.500 0.000 0.000
Cd 0.000 0.000 0.500
Ru 0.500 0.500 0.500

(9)
A plane-wave DFT calculation with PBE was carried out for crystalline Li2CdRu at its relaxed geometry.

Calculated values
The space group is P4mm (99). The value obtained for the total moment is 0.30 μB per atom. Its total energy is -3.3190 eV/atom. Its energy of formation from the pure elements is 0.74 eV per formula unit. For the density of states at the Fermi level, the calculation gives 2.0 states/eV/cell.

Cell: 2.876 2.876 7.851 Å, 90.00 90.00 90.00°
Fractional coordinates of all 4 atoms:
Li 0.000 0.000 0.000
Li 0.500 0.500 0.257
Cd 0.500 0.500 0.741
Ru 0.000 0.000 0.477

(10)
A plane-wave DFT calculation with PBE was carried out for crystalline LiCd2Ru at its relaxed geometry.

Calculated values
The space group is P2/m (10). The value obtained for the total moment is 0.00 μB per atom. Its total energy is -3.1469 eV/atom. Its energy of formation from the pure elements is 0.43 eV per formula unit. For the density of states at the Fermi level, the calculation gives 2.9 states/eV/cell.

Cell: 2.827 4.118 5.932 Å, 90.00 90.60 90.00°
Fractional coordinates of all 4 atoms:
Li 0.000 0.000 0.000
Cd 0.498 0.500 0.254
Cd 0.502 0.500 0.746
Ru 0.000 0.000 0.500

(11)
A plane-wave DFT calculation with PBE was carried out for crystalline LiCdRu at its relaxed geometry.

Calculated values
The space group is C2/m (12). The value obtained for the total moment is 0.00 μB per atom. Its total energy is -3.9803 eV/atom. Its energy of formation from the pure elements is 0.16 eV per formula unit. For the density of states at the Fermi level, the calculation gives 3.2 states/eV/cell. The calculation puts the relative energy among the computed polymorphs at 10 meV/atom.

Cell: 5.173 5.173 4.603 Å, 90.06 90.06 129.13°
Fractional coordinates of all 6 atoms:
Li 0.183 0.817 0.000
Li 0.817 0.183 0.000
Cd 0.000 0.000 0.500
Cd 0.500 0.500 0.000
Ru 0.309 0.691 0.500
Ru 0.691 0.309 0.500

(12)
A plane-wave DFT calculation with PBE was carried out for crystalline Li2CdRu at its relaxed geometry.

Calculated values
The space group is Imm2 (44). The value obtained for the total moment is 0.00 μB per atom. Its total energy is -3.3520 eV/atom. Its energy of formation from the pure elements is 0.61 eV per formula unit. For the density of states at the Fermi level, the calculation gives 2.5 states/eV/cell.

Cell: 5.394 5.394 5.394 Å, 150.43 129.04 60.02°
Fractional coordinates of all 4 atoms:
Li 0.000 0.000 0.000
Li 0.764 0.264 0.500
Cd 0.517 0.517 0.000
Ru 0.247 0.747 0.500

(13)
A plane-wave DFT calculation with PBE was carried out for crystalline LiCd2Ru at its relaxed geometry.

Calculated values
The space group is Cmmm (65). The value obtained for the total moment is 0.00 μB per atom. Its total energy is -3.2465 eV/atom. Its energy of formation from the pure elements is 0.03 eV per formula unit. For the density of states at the Fermi level, the calculation gives 2.2 states/eV/cell.

Cell: 4.552 4.552 3.269 Å, 90.00 90.00 90.07°
Fractional coordinates of all 4 atoms:
Li 0.000 0.000 0.000
Cd 0.000 0.500 0.500
Cd 0.500 0.000 0.500
Ru 0.500 0.500 0.000

(14)
A plane-wave DFT calculation with PBE was carried out for crystalline Li2CdRu at its relaxed geometry.

Calculated values
The space group is I-42d (122). The value obtained for the total moment is 0.24 μB per atom. Its total energy is -3.0743 eV/atom. Its energy of formation from the pure elements is 1.72 eV per formula unit. For the density of states at the Fermi level, the calculation gives 3.8 states/eV/cell.

Cell: 5.614 5.614 5.614 Å, 103.42 103.42 122.39°
Fractional coordinates of all 8 atoms:
Li 0.115 0.125 0.490
Li 0.375 0.885 0.010
Li 0.635 0.625 0.510
Li 0.875 0.365 0.990
Cd 0.250 0.750 0.500
Cd 0.500 0.500 0.000
Ru 0.000 0.000 0.000
Ru 0.750 0.250 0.500

(15)
A plane-wave DFT calculation with PBE was carried out for crystalline LiCdRu at its relaxed geometry.

Calculated values
The space group is P1 (1). The value obtained for the total moment is 0.00 μB per atom. Its total energy is -3.9900 eV/atom. Its energy of formation from the pure elements is 0.13 eV per formula unit. For the density of states at the Fermi level, the calculation gives 1.3 states/eV/cell. The calculation puts the relative energy among the computed polymorphs at 0 meV/atom.

Cell: 4.461 5.182 5.207 Å, 97.85 109.53 115.24°
Fractional coordinates of all 6 atoms:
Li 0.000 0.000 0.000
Li 0.317 0.695 0.973
Cd 0.450 0.519 0.499
Cd 0.689 0.350 0.034
Ru 0.136 0.904 0.494
Ru 0.758 0.130 0.515

(16)
A plane-wave DFT calculation with PBE was carried out for crystalline Li2Cd2Ru at its relaxed geometry.

Calculated values
The space group is P4/mbm (127). The value obtained for the total moment is 0.04 μB per atom. Its total energy is -2.8281 eV/atom. Its energy of formation from the pure elements is 0.79 eV per formula unit. For the density of states at the Fermi level, the calculation gives 8.0 states/eV/cell. The calculation puts the relative energy among the computed polymorphs at 0 meV/atom.

Cell: 7.314 7.314 2.925 Å, 90.00 90.00 90.00°
Fractional coordinates of all 10 atoms:
Li 0.129 0.371 0.000
Li 0.371 0.871 0.000
Li 0.629 0.129 0.000
Li 0.871 0.629 0.000
Cd 0.172 0.672 0.500
Cd 0.328 0.172 0.500
Cd 0.672 0.828 0.500
Cd 0.828 0.328 0.500
Ru 0.000 0.000 0.000
Ru 0.500 0.500 0.000

(17)
A plane-wave DFT calculation with PBE was carried out for crystalline LiCd4Ru at its relaxed geometry.

Calculated values
The space group is F-43m (216). The value obtained for the total moment is 0.22 μB per atom. Its total energy is -2.1413 eV/atom. Its energy of formation from the pure elements is 2.00 eV per formula unit. For the density of states at the Fermi level, the calculation gives 4.9 states/eV/cell.

Cell: 5.565 5.565 5.565 Å, 60.00 60.00 60.00°
Fractional coordinates of all 6 atoms:
Li 0.000 0.000 0.000
Cd 0.375 0.375 0.375
Cd 0.375 0.375 0.874
Cd 0.375 0.874 0.375
Cd 0.874 0.375 0.375
Ru 0.750 0.750 0.750

(18)
A plane-wave DFT calculation with PBE was carried out for crystalline Li2CdRu2 at its relaxed geometry.

Calculated values
The space group is P4/mbm (127). The value obtained for the total moment is 0.19 μB per atom. Its total energy is -4.2716 eV/atom. Its energy of formation from the pure elements is 1.94 eV per formula unit. For the density of states at the Fermi level, the calculation gives 8.9 states/eV/cell. The calculation puts the relative energy among the computed polymorphs at 38 meV/atom.

Cell: 7.489 7.489 2.703 Å, 90.00 90.00 90.00°
Fractional coordinates of all 10 atoms:
Li 0.178 0.322 0.000
Li 0.322 0.822 0.000
Li 0.678 0.178 0.000
Li 0.822 0.678 0.000
Cd 0.000 0.000 0.000
Cd 0.500 0.500 0.000
Ru 0.112 0.612 0.500
Ru 0.388 0.112 0.500
Ru 0.612 0.888 0.500
Ru 0.888 0.388 0.500

(19)
A plane-wave DFT calculation with PBE was carried out for crystalline LiCd2Ru at its relaxed geometry.

Calculated values
The space group is C2/m (12). The value obtained for the total moment is 0.00 μB per atom. Its total energy is -3.0815 eV/atom. Its energy of formation from the pure elements is 0.69 eV per formula unit. For the density of states at the Fermi level, the calculation gives 2.3 states/eV/cell.

Cell: 4.886 4.886 5.462 Å, 95.43 95.43 32.55°
Fractional coordinates of all 4 atoms:
Li 0.000 0.000 0.000
Cd 0.245 0.245 0.749
Cd 0.755 0.755 0.251
Ru 0.500 0.500 0.500

(20)
A plane-wave DFT calculation with PBE was carried out for crystalline Li2CdRu at its relaxed geometry.

Calculated values
The space group is Pmm2 (25). The value obtained for the total moment is 0.00 μB per atom. Its total energy is -3.3699 eV/atom. Its energy of formation from the pure elements is 0.54 eV per formula unit. For the density of states at the Fermi level, the calculation gives 2.5 states/eV/cell.

Cell: 2.634 4.378 5.523 Å, 90.00 90.00 90.00°
Fractional coordinates of all 4 atoms:
Li 0.000 0.000 0.000
Li 0.500 0.500 0.261
Cd 0.500 0.500 0.738
Ru 0.000 0.000 0.491